Material: VCuAgO4
Method: DFT, SCAN
State: single point on PBEsol structure

Cell lengths 9.077, 6.754, 5.301 Å; angles 90.00, 90.00, 90.00 degrees
Space group Pnma (No. 62)
Asymmetric unit:
V1 0.190 0.250 0.063 x4
Cu1 0.000 0.000 0.500 x4
Ag1 0.138 0.750 0.022 x4
O1 0.109 0.750 0.584 x4
O2 0.124 0.044 0.217 x8
O3 0.131 0.250 0.760 x4

Summary:
crystal system: orthorhombic
total DFT energy (no corrections): -99.79 eV/f.u.

Material: Co5Ru
Method: DFT, SCAN
State: single point on PBEsol structure

Cell lengths 9.069, 2.509, 5.886 Å; angles 90.00, 104.46, 90.00 degrees
Space group Cm (No. 8)
Asymmetric unit:
Co1 0.000 0.000 0.000 x2
Co2 0.055 0.000 0.602 x2
Co3 0.170 0.500 0.335 x2
Co4 0.337 0.000 0.659 x2
Co5 0.394 0.000 0.281 x2
Ru1 0.223 0.500 0.941 x2

Summary:
polymorph energy (0 for the lowest one): 0.00 kcal/mol of atoms
crystal system: monoclinic
energy of formation from the pure elements: 147 meV/atom
total DFT energy (no corrections): -120.46 eV/f.u.

Material: InNiHg2
Method: DFT, SCAN
State: single point on PBEsol structure

Cell lengths 3.045, 3.045, 8.182 Å; angles 90.00, 90.00, 90.00 degrees
Space group P4mm (No. 99)
Asymmetric unit:
In1 0.000 0.000 0.000 x1
Ni1 0.500 0.500 0.810 x1
Hg1 0.000 0.000 0.603 x1
Hg2 0.500 0.500 0.304 x1

Summary:
crystal system: tetragonal
energy of formation from the pure elements: 149 meV/atom
total DFT energy (no corrections): -185.30 eV/f.u.

Material: Hf2TiNCl
Method: DFT, SCAN
State: single point on PBEsol structure

Cell lengths 5.035, 5.035, 3.770 Å; angles 90.00, 90.00, 90.00 degrees
Space group P4/mmm (No. 123)
Asymmetric unit:
Hf1 0.000 0.500 0.000 x2
Ti1 0.000 0.000 0.000 x1
N1 0.000 0.000 0.500 x1
Cl1 0.500 0.500 0.500 x1

Summary:
crystal system: tetragonal
total DFT energy (no corrections): -155.76 eV/f.u.

Material: Mg2TlCd
Method: DFT, SCAN
State: single point on PBEsol structure

Cell lengths 4.580, 4.580, 8.418 Å; angles 90.00, 90.00, 90.00 degrees
Space group I4/mmm (No. 139)
Asymmetric unit:
Mg1 0.000 0.500 0.250 x4
Tl1 0.000 0.000 0.000 x2
Cd1 0.000 0.000 0.500 x2

Summary:
crystal system: tetragonal
energy of formation from the pure elements: -133 meV/atom
total DFT energy (no corrections): -113.25 eV/f.u.

Material: Be2InIr
Method: DFT, SCAN
State: single point on PBEsol structure

Cell lengths 4.028, 4.028, 3.078 Å; angles 90.00, 90.00, 90.00 degrees
Space group P4/mmm (No. 123)
Asymmetric unit:
Be1 0.000 0.500 0.000 x2
In1 0.000 0.000 0.500 x1
Ir1 0.500 0.500 0.500 x1

Summary:
crystal system: tetragonal
energy of formation from the pure elements: -118 meV/atom
total DFT energy (no corrections): -113.66 eV/f.u.

Material: YInCu4
Method: DFT, SCAN
State: single point on PBEsol structure

Cell lengths 7.121, 7.121, 7.121 Å; angles 90.00, 90.00, 90.00 degrees
Space group F-43m (No. 216)
Asymmetric unit:
Y1 0.000 0.000 0.000 x4
In1 0.250 0.250 0.750 x4
Cu1 0.125 0.125 0.375 x16

Summary:
crystal system: cubic
energy of formation from the pure elements: -327 meV/atom
total DFT energy (no corrections): -123.99 eV/f.u.

Material: Ba2NiN2
Method: DFT, SCAN
State: single point on PBEsol structure

Cell lengths 4.069, 4.069, 12.651 Å; angles 90.00, 90.00, 90.00 degrees
Space group I4/mmm (No. 139)
Asymmetric unit:
Ba1 0.000 0.000 0.144 x4
Ni1 0.000 0.000 0.500 x2
N1 0.000 0.000 0.363 x4

Summary:
crystal system: tetragonal
total DFT energy (no corrections): -116.89 eV/f.u.

Material: BaZr2Rh
Method: DFT, SCAN
State: single point on PBEsol structure

Cell lengths 3.363, 3.363, 8.590 Å; angles 90.00, 90.00, 90.00 degrees
Space group P4/mmm (No. 123)
Asymmetric unit:
Ba1 0.000 0.000 0.000 x1
Zr1 0.500 0.500 0.330 x2
Rh1 0.000 0.000 0.500 x1

Summary:
polymorph energy (0 for the lowest one): 1.73 kcal/mol of atoms
crystal system: tetragonal
energy of formation from the pure elements: -47 meV/atom
total DFT energy (no corrections): -134.91 eV/f.u.

Material: RbLi2Bi2
Method: DFT, SCAN
State: single point on PBEsol structure

Cell lengths 5.024, 5.024, 11.702 Å; angles 90.00, 90.00, 90.00 degrees
Space group I4/mmm (No. 139)
Asymmetric unit:
Rb1 0.000 0.000 0.000 x2
Li1 0.000 0.500 0.250 x4
Bi1 0.000 0.000 0.373 x4

Summary:
polymorph energy (0 for the lowest one): 0.31 kcal/mol of atoms
crystal system: tetragonal
energy of formation from the pure elements: -427 meV/atom
total DFT energy (no corrections): -184.81 eV/f.u.

Material: Ba3AlGa
Method: DFT, SCAN
State: single point on PBEsol structure

Cell lengths 6.365, 6.365, 6.365 Å; angles 90.00, 90.00, 90.00 degrees
Space group Pm-3m (No. 221)
Asymmetric unit:
Ba1 0.000 0.000 0.500 x3
Al1 0.000 0.000 0.000 x1
Ga1 0.500 0.500 0.500 x1

Summary:
crystal system: cubic
energy of formation from the pure elements: 297 meV/atom
total DFT energy (no corrections): -141.26 eV/f.u.

Material: Ta2FeHg
Method: DFT, SCAN
State: single point on PBEsol structure

Cell lengths 5.505, 7.971, 2.920 Å; angles 90.00, 90.00, 90.00 degrees
Space group Cmmm (No. 65)
Asymmetric unit:
Ta1 0.250 0.250 0.000 x4
Fe1 0.000 0.000 0.500 x2
Hg1 0.000 0.500 0.500 x2

Summary:
crystal system: orthorhombic
energy of formation from the pure elements: 280 meV/atom
total DFT energy (no corrections): -218.34 eV/f.u.